VASP calculation (PBE) on a relaxed MgCr2PbCl8 crystal.

As for the energy relative to the elements, uncorrected: -1.157 eV/atom.

It has space group P-1 (No. 2), with a = 5.954 Å, b = 6.080 Å, c = 8.550 Å, α = 84.46°, β = 84.05° and γ = 85.57°. The distinct sites, in fractional coordinates, are Mg at (0.000, 0.000, 0.000), Cr at (0.497, 0.496, 0.222), Pb at (0.000, 0.000, 0.500), Cl at (0.222, 0.807, 0.217), Cl at (0.238, 0.824, 0.777), Cl at (0.273, 0.318, 0.987) and Cl at (0.303, 0.345, 0.458).

---

VASP calculation (PBE) on a relaxed Li4SnHg5 crystal.

The value obtained for the formation energy is -2.91 eV per formula unit.

It has space group P4/mmm (No. 123), with a = 3.415 Å, b = 3.415 Å, c = 17.330 Å, α = 90.00°, β = 90.00° and γ = 90.00°. The distinct sites, in fractional coordinates, are Li at (0.000, 0.000, 0.094), Li at (0.000, 0.000, 0.283), Sn at (0.000, 0.000, 0.500), Hg at (0.500, 0.500, 0.000), Hg at (0.500, 0.500, 0.186) and Hg at (0.500, 0.500, 0.373).

---

VASP calculation (PBE) on a relaxed ScAg3 crystal.

The value obtained for the formation energy is -0.85 eV per formula unit.

It has space group Pmmn (No. 59, origin choice 2), with a = 4.890 Å, b = 6.001 Å, c = 5.084 Å, α = 90.00°, β = 90.00° and γ = 90.00°. The distinct sites, in fractional coordinates, are Sc at (0.250, 0.250, 0.155), Ag at (0.250, 0.503, 0.663) and Ag at (0.250, 0.750, 0.169).

---

VASP calculation (PBE) on a relaxed BaRh2W crystal.

The value obtained for the formation energy is 3.86 eV per formula unit. As for the energy above the most stable polymorph in this dataset: 0.846 eV/atom.

It has space group F-43m (No. 216), with a = 6.684 Å, b = 6.684 Å, c = 6.684 Å, α = 90.00°, β = 90.00° and γ = 90.00°. The distinct sites, in fractional coordinates, are Ba at (0.000, 0.000, 0.000), Rh at (0.000, 0.000, 0.500), Rh at (0.250, 0.250, 0.250) and W at (0.250, 0.250, 0.750).

---

VASP calculation (PBE) on a relaxed Zn3Se crystal.

As for the energy relative to the elements, uncorrected: 0.189 eV/atom. As for the energy above the most stable polymorph in this dataset: 0.356 eV/atom.

It has space group P-6m2 (No. 187), with a = 2.7909 Å, b = 2.7909 Å, c = 10.4048 Å, α = 90.00°, β = 90.00° and γ = 120.00°. The distinct sites, in fractional coordinates, are Zn at (0.0000, 0.0000, 0.0000), Zn at (0.6667, 0.3333, 0.2244) and Se at (0.0000, 0.0000, 0.5000).

---

VASP calculation (PBE) on a relaxed Tm2GePt crystal.

The value obtained for the formation energy is -3.89 eV per formula unit.

It has space group P4/mmm (No. 123), with a = 3.446 Å, b = 3.446 Å, c = 7.169 Å, α = 90.00°, β = 90.00° and γ = 90.00°. The distinct sites, in fractional coordinates, are Tm at (0.000, 0.000, 0.240), Ge at (0.500, 0.500, 0.500) and Pt at (0.500, 0.500, 0.000).

---

VASP calculation (PBE) on a relaxed Dy2ScSb crystal.

As for the energy relative to the elements, uncorrected: -0.510 eV/atom. As for the energy above the most stable polymorph in this dataset: 0.000 eV/atom.

It has space group P4/mmm (No. 123), with a = 4.070 Å, b = 4.070 Å, c = 6.485 Å, α = 90.00°, β = 90.00° and γ = 90.00°. The distinct sites, in fractional coordinates, are Dy at (0.000, 0.000, 0.242), Sc at (0.500, 0.500, 0.500) and Sb at (0.500, 0.500, 0.000).

---

VASP calculation (PBE) on a relaxed NaIr3Se crystal.

As for the energy relative to the elements, uncorrected: 2.434 eV/atom. As for the energy above the most stable polymorph in this dataset: 1.445 eV/atom.

It has space group Pm-3m (No. 221), with a = 4.542 Å, b = 4.542 Å, c = 4.542 Å, α = 90.00°, β = 90.00° and γ = 90.00°. The distinct sites, in fractional coordinates, are Na at (0.000, 0.000, 0.000), Ir at (0.000, 0.000, 0.500) and Se at (0.500, 0.500, 0.500).